No. 1
# ZrCr2Ir | Alexandria | PBE-GGA | optimized geometry
# Total energy, eV per atom: -9.195
# Calculated formation energy, meV per atom: -31
# ρ, g cm⁻³: 10.64
# Excess energy over the best structure of this formula in the dataset, kJ/mol of formula units: 37
# N(E_F), states/eV/cell: 5.09
data_ZrCr2Ir
_cell_length_a 2.841
_cell_length_b 3.947
_cell_length_c 5.563
_cell_angle_alpha 90.00
_cell_angle_beta 104.12
_cell_angle_gamma 90.00
_symmetry_space_group_name_H-M 'P 1 m 1'
_symmetry_Int_Tables_number 6
_symmetry_space_group_name_Hall 'P -2y'
loop_
_atom_site_label
_atom_site_fract_x
_atom_site_fract_y
_atom_site_fract_z
_atom_site_occupancy
Zr1 0.000 0.000 0.000 1
Cr1 0.594 0.500 0.297 1
Cr2 0.905 0.000 0.475 1
Ir1 0.403 0.500 0.718 1

---

No. 2
# ZrCr2Ir | Alexandria | PBE-GGA | optimized geometry
# Total energy, eV per atom: -9.092
# Calculated formation energy, meV per atom: 72
# ρ, g cm⁻³: 10.85
# Excess energy over the best structure of this formula in the dataset, kJ/mol of formula units: 77
# N(E_F), states/eV/cell: 5.06
data_ZrCr2Ir
_cell_length_a 4.386
_cell_length_b 4.386
_cell_length_c 3.082
_cell_angle_alpha 90.00
_cell_angle_beta 90.00
_cell_angle_gamma 90.00
_symmetry_space_group_name_H-M 'P 4/m m m'
_symmetry_Int_Tables_number 123
_symmetry_space_group_name_Hall '-P 4 2'
loop_
_atom_site_label
_atom_site_fract_x
_atom_site_fract_y
_atom_site_fract_z
_atom_site_occupancy
Zr1 0.000 0.000 0.000 1
Cr1 0.000 0.500 0.500 1
Ir1 0.500 0.500 0.000 1

---

No. 3
# ZrCr2Ir | Alexandria | PBE-GGA | optimized geometry
# Total energy, eV per atom: -9.291
# Calculated formation energy, meV per atom: -127
# ρ, g cm⁻³: 10.21
# Excess energy over the best structure of this formula in the dataset, kJ/mol of formula units: 0
# N(E_F), states/eV/cell: 20.32
data_ZrCr2Ir
_cell_length_a 6.316
_cell_length_b 6.316
_cell_length_c 6.316
_cell_angle_alpha 90.00
_cell_angle_beta 90.00
_cell_angle_gamma 90.00
_symmetry_space_group_name_H-M 'F -4 3 m'
_symmetry_Int_Tables_number 216
_symmetry_space_group_name_Hall 'F -4 2 3'
loop_
_atom_site_label
_atom_site_fract_x
_atom_site_fract_y
_atom_site_fract_z
_atom_site_occupancy
Zr1 0.000 0.000 0.000 1
Cr1 0.000 0.000 0.500 1
Cr2 0.250 0.250 0.750 1
Ir1 0.250 0.250 0.250 1

---

No. 4
# ZrCrIr | Alexandria | PBE-GGA | optimized geometry
# Total energy, eV per atom: -9.137
# Calculated formation energy, meV per atom: -126
# ρ, g cm⁻³: 10.84
# Excess energy over the best structure of this formula in the dataset, kJ/mol of formula units: 17
# N(E_F), states/eV/cell: 3.49
data_ZrCrIr
_cell_length_a 4.3571
_cell_length_b 4.3571
_cell_length_c 3.1248
_cell_angle_alpha 90.00
_cell_angle_beta 90.00
_cell_angle_gamma 120.00
_symmetry_space_group_name_H-M 'P -6 m 2'
_symmetry_Int_Tables_number 187
_symmetry_space_group_name_Hall 'P -6 2'
loop_
_atom_site_label
_atom_site_fract_x
_atom_site_fract_y
_atom_site_fract_z
_atom_site_occupancy
Zr1 0.0000 0.0000 0.0000 1
Cr1 0.3333 0.6667 0.5000 1
Ir1 0.6667 0.3333 0.5000 1

---

No. 5
# ZrCrIr | Alexandria | PBE-GGA | optimized geometry
# Total energy, eV per atom: -9.194
# Calculated formation energy, meV per atom: -183
# ρ, g cm⁻³: 11.40
# Excess energy over the best structure of this formula in the dataset, kJ/mol of formula units: 0
# N(E_F), states/eV/cell: 4.87
data_ZrCrIr
_cell_length_a 2.931
_cell_length_b 2.931
_cell_length_c 11.380
_cell_angle_alpha 90.00
_cell_angle_beta 90.00
_cell_angle_gamma 90.00
_symmetry_space_group_name_H-M 'I 4 m m'
_symmetry_Int_Tables_number 107
_symmetry_space_group_name_Hall 'I 4 -2'
loop_
_atom_site_label
_atom_site_fract_x
_atom_site_fract_y
_atom_site_fract_z
_atom_site_occupancy
Zr1 0.000 0.000 0.000 1
Cr1 0.000 0.000 0.318 1
Ir1 0.000 0.000 0.693 1

---

No. 6
# ZrCr2Ir | Alexandria | PBE-GGA | optimized geometry
# Total energy, eV per atom: -9.062
# Calculated formation energy, meV per atom: 102
# ρ, g cm⁻³: 10.69
# Excess energy over the best structure of this formula in the dataset, kJ/mol of formula units: 88
# N(E_F), states/eV/cell: 4.49
data_ZrCr2Ir
_cell_length_a 2.736
_cell_length_b 4.300
_cell_length_c 5.211
_cell_angle_alpha 90.00
_cell_angle_beta 101.00
_cell_angle_gamma 90.00
_symmetry_space_group_name_H-M 'P 1 2/m 1'
_symmetry_Int_Tables_number 10
_symmetry_space_group_name_Hall '-P 2y'
loop_
_atom_site_label
_atom_site_fract_x
_atom_site_fract_y
_atom_site_fract_z
_atom_site_occupancy
Zr1 0.000 0.000 0.000 1
Cr1 0.196 0.500 0.713 1
Ir1 0.500 0.000 0.500 1

---

No. 7
# ZrCrIr | Alexandria | PBE-GGA | optimized geometry
# Total energy, eV per atom: -9.130
# Calculated formation energy, meV per atom: -119
# ρ, g cm⁻³: 11.20
# Excess energy over the best structure of this formula in the dataset, kJ/mol of formula units: 19
# N(E_F), states/eV/cell: 7.29
data_ZrCrIr
_cell_length_a 2.911
_cell_length_b 3.591
_cell_length_c 9.513
_cell_angle_alpha 90.00
_cell_angle_beta 90.00
_cell_angle_gamma 90.00
_symmetry_space_group_name_H-M 'I m m 2'
_symmetry_Int_Tables_number 44
_symmetry_space_group_name_Hall 'I 2 -2'
loop_
_atom_site_label
_atom_site_fract_x
_atom_site_fract_y
_atom_site_fract_z
_atom_site_occupancy
Zr1 0.000 0.000 0.000 1
Cr1 0.000 0.000 0.689 1
Ir1 0.000 0.000 0.314 1

---

No. 8
# ZrCr2Ir | Alexandria | PBE-GGA | optimized geometry
# Total energy, eV per atom: -8.706
# Calculated formation energy, meV per atom: 458
# ρ, g cm⁻³: 9.79
# Excess energy over the best structure of this formula in the dataset, kJ/mol of formula units: 226
# N(E_F), states/eV/cell: 21.17
data_ZrCr2Ir
_cell_length_a 7.097
_cell_length_b 7.097
_cell_length_c 5.221
_cell_angle_alpha 90.00
_cell_angle_beta 90.00
_cell_angle_gamma 90.00
_symmetry_space_group_name_H-M 'I -4 2 d'
_symmetry_Int_Tables_number 122
_symmetry_space_group_name_Hall 'I -4 2bw'
loop_
_atom_site_label
_atom_site_fract_x
_atom_site_fract_y
_atom_site_fract_z
_atom_site_occupancy
Zr1 0.000 0.000 0.000 1
Cr1 0.216 0.250 0.625 1
Ir1 0.000 0.000 0.500 1